1.
ScTiTe2P | PBE-GGA | relaxed

Unit cell a=5.477 b=4.828 c=5.477 alpha=90.00 beta=90.00 gamma=90.00
Last column: magnetic moment on the atom in μB.
Sites, in units of the cell vectors:
1 Te 0.000 0.000 0.500  -0.01
2 Ti 0.500 0.500 0.500  -0.09
3 Te 0.500 0.000 0.000  -0.01
4 P 0.000 0.500 0.000  0.07
5 Sc 0.000 0.000 0.000  0.01

## Properties
Uncorrected formation energy: 0.304 eV/atom



2.
YScTeP | PBE-GGA | relaxed

Unit cell a=3.974 b=3.974 c=7.366 alpha=90.00 beta=105.65 gamma=120.00
Sites, in units of the cell vectors:
1 P 0.316 0.556 0.888
2 Sc 0.107 0.951 0.074
3 Te 0.958 0.377 0.351
4 Y 0.496 0.146 0.658

## Properties
Uncorrected formation energy: -1.456 eV/atom



3.
ZrScTeP | PBE-GGA | relaxed

Unit cell a=3.831 b=3.830 c=7.191 alpha=90.00 beta=105.47 gamma=119.99
Sites, in units of the cell vectors:
1 Te 0.968 0.382 0.365
2 Zr 0.104 0.950 0.069
3 Sc 0.503 0.149 0.667
4 P 0.304 0.550 0.869

## Properties
Uncorrected formation energy: -1.268 eV/atom



4.
Th2ScP3 | PBE-GGA | relaxed

Unit cell a=8.997 b=8.997 c=8.997 alpha=153.88 beta=153.88 gamma=37.28
Sites, in units of the cell vectors:
1 Th 0.335 0.335 0.000
2 Th 0.665 0.665 0.000
3 P 0.500 0.500 0.000
4 P 0.159 0.159 0.000
5 P 0.841 0.841 0.000
6 Sc 0.000 0.000 0.000

## Properties
ΔE_f: -8.82 eV per formula unit



5.
Th3ScP4 | PBE-GGA | relaxed

Unit cell a=7.056 b=7.028 c=8.118 alpha=90.00 beta=90.00 gamma=109.35
Sites, in units of the cell vectors:
1 Sc 0.250 0.000 0.123
2 P 0.501 0.235 0.884
3 Th 0.250 0.500 0.372
4 P 0.499 0.765 0.116
5 Sc 0.750 0.000 0.877
6 P 0.999 0.765 0.884
7 P 0.491 0.243 0.367
8 Th 0.750 0.500 0.124
9 Th 0.250 0.000 0.628
10 Th 0.750 0.000 0.372
11 Th 0.250 0.500 0.876
12 P 0.009 0.757 0.367
13 P 0.001 0.235 0.116
14 P 0.509 0.757 0.633
15 Th 0.750 0.500 0.628
16 P 0.991 0.243 0.633

## Properties
ΔE_f: -11.99 eV per formula unit



6.
ThSc3P4 | PBE-GGA | relaxed

Unit cell a=3.846 b=3.846 c=25.303 alpha=90.00 beta=90.00 gamma=120.00
Sites, in units of the cell vectors:
1 Sc 0.667 0.333 0.117
2 P 0.333 0.667 0.059
3 P 0.333 0.667 0.441
4 P 0.000 0.000 0.677
5 P 0.667 0.333 0.559
6 P 0.000 0.000 0.323
7 P 0.667 0.333 0.941
8 Th 0.333 0.667 0.250
9 Sc 0.000 0.000 0.500
10 P 0.000 0.000 0.177
11 P 0.000 0.000 0.823
12 Sc 0.333 0.667 0.617
13 Sc 0.333 0.667 0.883
14 Sc 0.000 0.000 0.000
15 Sc 0.667 0.333 0.383
16 Th 0.667 0.333 0.750

## Properties
ΔE_f: -11.72 eV per formula unit



7.
ThSc4P5 | PBE-GGA | relaxed

Unit cell a=3.849 b=5.507 c=10.155 alpha=105.73 beta=100.92 gamma=90.00
Sites, in units of the cell vectors:
1 P 0.391 0.891 0.781
2 P 0.801 0.301 0.601
3 P 0.199 0.699 0.399
4 P 0.609 0.109 0.219
5 Th 0.000 0.000 0.000
6 P 0.000 0.500 0.000
7 Sc 0.396 0.396 0.792
8 Sc 0.206 0.206 0.411
9 Sc 0.604 0.604 0.208
10 Sc 0.794 0.794 0.589

## Properties
ΔE_f: -14.64 eV per formula unit



8.
Th5ScP6 | PBE-GGA | relaxed

Unit cell a=7.086 b=7.086 c=7.089 alpha=60.01 beta=80.36 gamma=70.43
Sites, in units of the cell vectors:
1 Sc 0.000 0.000 0.000
2 P 0.759 0.080 0.322
3 Th 0.000 0.334 0.332
4 P 0.755 0.760 0.000
5 P 0.241 0.598 0.322
6 Th 0.000 0.666 0.668
7 Th 0.500 0.169 0.663
8 P 0.245 0.240 0.000
9 Th 0.500 0.500 0.000
10 P 0.241 0.920 0.678
11 P 0.759 0.402 0.678
12 Th 0.500 0.831 0.337

## Properties
ΔE_f: -18.12 eV per formula unit



9.
Tm2ThScP4 | PBE-GGA | relaxed

Unit cell a=3.975 b=6.872 c=6.841 alpha=70.54 beta=90.00 gamma=90.00
Sites, in units of the cell vectors:
1 P 0.000 0.245 0.262
2 Sc 0.000 0.500 0.500
3 P 0.000 0.755 0.738
4 Th 0.500 0.500 0.000
5 P 0.500 0.747 0.261
6 Tm 0.500 0.000 0.500
7 Tm 0.000 0.000 0.000
8 P 0.500 0.253 0.739

## Properties
ΔE_f: -12.35 eV per formula unit



10.
TmThSc2P4 | PBE-GGA | relaxed

Unit cell a=3.928 b=6.744 c=6.785 alpha=70.40 beta=90.00 gamma=90.00
Sites, in units of the cell vectors:
1 Tm 0.000 0.500 0.500
2 P 0.000 0.770 0.737
3 P 0.000 0.230 0.263
4 Th 0.500 0.500 0.000
5 Sc 0.000 0.000 0.000
6 P 0.500 0.235 0.750
7 Sc 0.500 0.000 0.500
8 P 0.500 0.765 0.250

## Properties
ΔE_f: -12.20 eV per formula unit



11.
TmTh2ScP4 | PBE-GGA | relaxed

Unit cell a=4.030 b=6.876 c=6.979 alpha=70.16 beta=90.00 gamma=90.00
Sites, in units of the cell vectors:
1 Tm 0.000 0.500 0.500
2 P 0.500 0.734 0.251
3 P 0.000 0.269 0.239
4 Sc 0.500 0.500 0.000
5 P 0.500 0.266 0.749
6 Th 0.000 0.000 0.000
7 Th 0.500 0.000 0.500
8 P 0.000 0.731 0.761

## Properties
ΔE_f: -12.22 eV per formula unit



12.
ThSc2UP4 | PBE-GGA | relaxed

Unit cell a=3.922 b=6.739 c=6.787 alpha=70.37 beta=90.00 gamma=90.00
Last column: magnetic moment on the atom in μB.
Sites, in units of the cell vectors:
1 P 0.000 0.235 0.248  -0.04
2 Th 0.000 0.500 0.500  0.04
3 P 0.500 0.770 0.235  -0.02
4 P 0.500 0.230 0.765  -0.02
5 P 0.000 0.765 0.752  -0.04
6 Sc 0.500 0.000 0.500  0.04
7 Sc 0.000 0.000 0.000  0.02
8 U 0.500 0.500 0.000  2.06

## Properties
ΔE_f: -10.80 eV per formula unit